! GdZr2Pd (GGA-PBE, relaxed); values from VASP
&SYSTEM
  ibrav = 0, nat = 4, ntyp = 3
/
ATOMIC_SPECIES
Gd 157.25 Gd.upf
Zr 91.22 Zr.upf
Pd 106.42 Pd.upf
CELL_PARAMETERS angstrom
3.392 0.000 0.000
0.000 3.392 0.000
0.000 0.000 7.788
ATOMIC_POSITIONS crystal
Gd 0.500 0.500 0.500
Zr 0.000 0.000 0.789
Zr 0.000 0.000 0.211
Pd 0.500 0.500 0.000
! calculated formation energy	-224	meV/atom
! calculated density	8.3	g/cm3
! space group	P4/mmm, No. 123